First-principles (GGA-PBE) data for TbTm2ScTl4 after structural relaxation, as listed in the Alexandria database.

Properties
Fermi-level density of states in states/eV per atom: 0.8202
V in Å³/atom: 26.084
Crystal system: trigonal
Magnetic moment in μB/f.u.: 0.00
Final energy in eV per atom: -3.9624
SG: R-3m, No. 166

The structure in POSCAR format:
```
TbTm2ScTl4
1.0
-1.759 4.186 -2.687
-4.304 -0.424 -3.022
-6.973 3.498 4.835
Tb Tm Sc Tl
1 2 1 4
direct
0.000 0.000 0.000
0.751 0.751 0.746
0.249 0.249 0.254
0.500 0.500 0.500
0.377 0.377 0.869
0.873 0.873 0.380
0.127 0.127 0.620
0.623 0.623 0.131
```